# 1
# Tm5Ga2Ag GGA-PBE optimized geometry
data_Tm5Ga2Ag
_chemical_formula_sum 'Tm10 Ga4 Ag2'
_cell_length_a 6.6884
_cell_length_b 6.6884
_cell_length_c 8.5635
_cell_angle_alpha 90.00
_cell_angle_beta 90.00
_cell_angle_gamma 90.00
_symmetry_space_group_name_H-M 'I 4/m m m'
_symmetry_Int_Tables_number 139
_symmetry_space_group_name_Hall '-I 4 2'
loop_
_atom_site_label
_atom_site_type_symbol
_atom_site_fract_x
_atom_site_fract_y
_atom_site_fract_z
Tm1 Tm 0.0000 0.0000 0.0000
Tm2 Tm 0.2500 0.2500 0.2500
Ga1 Ga 0.0000 0.5000 0.0000
Ag1 Ag 0.0000 0.0000 0.5000
# ΔE to the lowest computed polymorph = 0.143 eV per atom
# Energy relative to the elements = -261.3 meV/atom
# ρ = 9.5 Mg/m³
# Uncorrected energy = -66.71 eV per cell

***

# 2
# Tm2GaAg3 GGA-PBE optimized geometry
data_Tm2GaAg3
_chemical_formula_sum 'Tm16 Ga8 Ag24'
_cell_length_a 6.7086
_cell_length_b 9.3099
_cell_length_c 16.2245
_cell_angle_alpha 90.00
_cell_angle_beta 90.00
_cell_angle_gamma 90.00
_symmetry_space_group_name_H-M 'F m m m'
_symmetry_Int_Tables_number 69
_symmetry_space_group_name_Hall '-F 2 2'
loop_
_atom_site_label
_atom_site_type_symbol
_atom_site_fract_x
_atom_site_fract_y
_atom_site_fract_z
Tm1 Tm 0.2471 0.0000 0.0000
Tm2 Tm 0.2500 0.2500 0.2500
Ga1 Ga 0.0000 0.0000 0.3337
Ag1 Ag 0.0000 0.0000 0.1708
Ag2 Ag 0.0000 0.2440 0.4150
# ΔE to the lowest computed polymorph = 0.000 eV per atom
# Energy relative to the elements = -346.1 meV/atom
# ρ = 9.6 Mg/m³
# Uncorrected energy = -180.80 eV per cell

***

# 3
# Tm4Ga2Ag GGA-PBE optimized geometry
data_Tm4Ga2Ag
_chemical_formula_sum 'Tm12 Ga6 Ag3'
_cell_length_a 4.9764
_cell_length_b 4.9764
_cell_length_c 24.1839
_cell_angle_alpha 90.00
_cell_angle_beta 90.00
_cell_angle_gamma 120.00
_symmetry_space_group_name_H-M 'R -3 m'
_symmetry_Int_Tables_number 166
_symmetry_space_group_name_Hall '-R 3 2"'
loop_
_atom_site_label
_atom_site_type_symbol
_atom_site_fract_x
_atom_site_fract_y
_atom_site_fract_z
Tm1 Tm 0.0000 0.0000 0.1206
Tm2 Tm 0.0000 0.0000 0.3718
Ga1 Ga 0.0000 0.0000 0.2507
Ag1 Ag 0.0000 0.0000 0.5000
# ΔE to the lowest computed polymorph = 0.000 eV per atom
# Energy relative to the elements = -376.9 meV/atom
# ρ = 8.9 Mg/m³
# Uncorrected energy = -88.29 eV per cell

***

# 4
# TmGa2Ag4 GGA-PBE optimized geometry
data_TmGa2Ag4
_chemical_formula_sum 'Tm2 Ga4 Ag8'
_cell_length_a 7.9441
_cell_length_b 7.9441
_cell_length_c 4.2531
_cell_angle_alpha 90.00
_cell_angle_beta 90.00
_cell_angle_gamma 90.00
_symmetry_space_group_name_H-M 'P 42/m n m'
_symmetry_Int_Tables_number 136
_symmetry_space_group_name_Hall '-P 4n 2n'
loop_
_atom_site_label
_atom_site_type_symbol
_atom_site_fract_x
_atom_site_fract_y
_atom_site_fract_z
Tm1 Tm 0.0000 0.0000 0.0000
Ga1 Ga 0.2012 0.2012 0.5000
Ag1 Ag 0.0971 0.6542 0.5000
# ΔE to the lowest computed polymorph = 0.017 eV per atom
# Energy relative to the elements = -185.1 meV/atom
# ρ = 9.2 Mg/m³
# Uncorrected energy = -46.45 eV per cell

***

# 5
# TmGa3Ag2 GGA-PBE optimized geometry
data_TmGa3Ag2
_chemical_formula_sum 'Tm4 Ga12 Ag8'
_cell_length_a 9.9691
_cell_length_b 8.0331
_cell_length_c 5.8636
_cell_angle_alpha 90.00
_cell_angle_beta 90.00
_cell_angle_gamma 90.00
_symmetry_space_group_name_H-M 'C m c m'
_symmetry_Int_Tables_number 63
_symmetry_space_group_name_Hall '-C 2c 2'
loop_
_atom_site_label
_atom_site_type_symbol
_atom_site_fract_x
_atom_site_fract_y
_atom_site_fract_z
Tm1 Tm 0.0000 0.1520 0.2500
Ga1 Ga 0.0000 0.4891 0.7500
Ga2 Ga 0.1312 0.2088 0.7500
Ag1 Ag 0.2330 0.5000 0.0000
# Energy relative to the elements = -213.0 meV/atom
# ρ = 8.4 Mg/m³
# Uncorrected energy = -82.13 eV per cell

***

# 6
# TmGa4Ag6 GGA-PBE optimized geometry
data_TmGa4Ag6
_chemical_formula_sum 'Tm2 Ga8 Ag12'
_cell_length_a 6.7302
_cell_length_b 6.7302
_cell_length_c 9.8009
_cell_angle_alpha 90.00
_cell_angle_beta 90.00
_cell_angle_gamma 90.00
_symmetry_space_group_name_H-M 'I -4 2 m'
_symmetry_Int_Tables_number 121
_symmetry_space_group_name_Hall 'I -4 2'
loop_
_atom_site_label
_atom_site_type_symbol
_atom_site_fract_x
_atom_site_fract_y
_atom_site_fract_z
Tm1 Tm 0.0000 0.0000 0.0000
Ga1 Ga 0.1766 0.1766 0.5729
Ag1 Ag 0.0000 0.5000 0.0000
Ag2 Ag 0.1670 0.1670 0.2855
# Energy relative to the elements = -14.4 meV/atom
# ρ = 8.2 Mg/m³
# Uncorrected energy = -67.69 eV per cell

***

# 7
# Tm8Ga2Ag GGA-PBE optimized geometry
data_Tm8Ga2Ag
_chemical_formula_sum 'Tm16 Ga4 Ag2'
_cell_length_a 17.8988
_cell_length_b 4.9452
_cell_length_c 6.6831
_cell_angle_alpha 90.00
_cell_angle_beta 101.87
_cell_angle_gamma 90.00
_symmetry_space_group_name_H-M 'C 1 2/m 1'
_symmetry_Int_Tables_number 12
loop_
_symmetry_equiv_pos_as_xyz
'x,y,z'
'-x,-y,-z'
'-x,y,-z'
'x,-y,z'
'x+1/2,y+1/2,z'
'-x+1/2,-y+1/2,-z'
'-x+1/2,y+1/2,-z'
'x+1/2,-y+1/2,z'
loop_
_atom_site_label
_atom_site_type_symbol
_atom_site_fract_x
_atom_site_fract_y
_atom_site_fract_z
Tm1 Tm 0.0253 0.0000 0.2642
Tm2 Tm 0.0926 0.5000 0.9631
Tm3 Tm 0.1606 0.5000 0.4687
Tm4 Tm 0.2042 0.0000 0.8122
Ga1 Ga 0.1913 0.0000 0.2447
Ag1 Ag 0.0000 0.5000 0.5000
# Energy relative to the elements = -235.0 meV/atom
# ρ = 9.2 Mg/m³
# Uncorrected energy = -94.52 eV per cell

***

# 8
# Tm3Ga9Ag2 GGA-PBE optimized geometry
data_Tm3Ga9Ag2
_chemical_formula_sum 'Tm6 Ga18 Ag4'
_cell_length_a 4.2069
_cell_length_b 10.1415
_cell_length_c 12.4535
_cell_angle_alpha 90.00
_cell_angle_beta 90.00
_cell_angle_gamma 90.00
_symmetry_space_group_name_H-M 'I m m m'
_symmetry_Int_Tables_number 71
_symmetry_space_group_name_Hall '-I 2 2'
loop_
_atom_site_label
_atom_site_type_symbol
_atom_site_fract_x
_atom_site_fract_y
_atom_site_fract_z
Tm1 Tm 0.0000 0.0000 0.0000
Tm2 Tm 0.0000 0.0000 0.3155
Ga1 Ga 0.0000 0.2769 0.1421
Ga2 Ga 0.0000 0.3770 0.3371
Ga3 Ga 0.0000 0.5000 0.0000
Ag1 Ag 0.0000 0.2135 0.5000
# Energy relative to the elements = -406.0 meV/atom
# ρ = 8.4 Mg/m³
# Uncorrected energy = -104.09 eV per cell